1.
{
  "formula": "YZr2Ta",
  "functional": "GGA-PBE",
  "state": "relaxed",
  "dos_at_fermi_per_ev_cell": 13.30,
  "de_polymorph_ev_per_atom": 0.050,
  "magmom_total_mub_per_cell": 0.000,
  "ef_ev_per_fu": 0.81,
  "volume_a3_per_cell": 190,
  "lattice": [[3.818, 0.000, 0.000], [0.000, 4.891, 0.000], [0.000, 0.000, 10.171]],
  "species": ["Y", "Y", "Zr", "Zr", "Zr", "Zr", "Ta", "Ta"],
  "frac_coords": [[0.000, 0.000, 0.000], [0.500, 0.500, 0.000], [0.000, 0.500, 0.284], [0.000, 0.500, 0.716], [0.500, 0.000, 0.284], [0.500, 0.000, 0.716], [0.000, 0.000, 0.500], [0.500, 0.500, 0.500]]
}

2.
{
  "formula": "YZr2Ta",
  "functional": "GGA-PBE",
  "state": "relaxed",
  "dos_at_fermi_per_ev_cell": 5.91,
  "de_polymorph_ev_per_atom": 0.090,
  "magmom_total_mub_per_cell": 0.000,
  "ef_ev_per_fu": 0.97,
  "volume_a3_per_cell": 94,
  "lattice": [[3.158, 0.000, 0.000], [0.000, 4.551, 0.000], [0.000, 0.000, 6.572]],
  "species": ["Y", "Zr", "Zr", "Ta"],
  "frac_coords": [[0.000, 0.000, 0.000], [0.500, 0.500, 0.280], [0.500, 0.500, 0.720], [0.000, 0.000, 0.500]]
}

3.
{
  "formula": "YZrTa2",
  "functional": "GGA-PBE",
  "state": "relaxed",
  "dos_at_fermi_per_ev_cell": 34.11,
  "de_polymorph_ev_per_atom": 0.311,
  "magmom_total_mub_per_cell": 0.000,
  "ef_ev_per_fu": 1.93,
  "volume_a3_per_cell": 348,
  "lattice": [[7.036, 0.000, 0.000], [0.000, 7.036, 0.000], [0.000, 0.000, 7.036]],
  "species": ["Y", "Y", "Y", "Y", "Zr", "Zr", "Zr", "Zr", "Ta", "Ta", "Ta", "Ta", "Ta", "Ta", "Ta", "Ta"],
  "frac_coords": [[0.000, 0.000, 0.000], [0.000, 0.500, 0.500], [0.500, 0.000, 0.500], [0.500, 0.500, 0.000], [0.000, 0.000, 0.500], [0.000, 0.500, 0.000], [0.500, 0.000, 0.000], [0.500, 0.500, 0.500], [0.250, 0.250, 0.250], [0.250, 0.250, 0.750], [0.250, 0.750, 0.250], [0.250, 0.750, 0.750], [0.750, 0.250, 0.250], [0.750, 0.250, 0.750], [0.750, 0.750, 0.250], [0.750, 0.750, 0.750]]
}

4.
{
  "formula": "YZrTa2",
  "functional": "GGA-PBE",
  "state": "relaxed",
  "dos_at_fermi_per_ev_cell": 23.57,
  "de_polymorph_ev_per_atom": 0.727,
  "magmom_total_mub_per_cell": 0.000,
  "ef_ev_per_fu": 3.60,
  "volume_a3_per_cell": 365,
  "lattice": [[7.873, 0.000, 0.000], [0.000, 7.873, 0.000], [0.000, 0.000, 5.888]],
  "species": ["Y", "Y", "Y", "Y", "Zr", "Zr", "Zr", "Zr", "Ta", "Ta", "Ta", "Ta", "Ta", "Ta", "Ta", "Ta"],
  "frac_coords": [[0.000, 0.000, 0.000], [0.000, 0.500, 0.250], [0.500, 0.000, 0.750], [0.500, 0.500, 0.500], [0.000, 0.000, 0.500], [0.000, 0.500, 0.750], [0.500, 0.000, 0.250], [0.500, 0.500, 0.000], [0.238, 0.750, 0.625], [0.250, 0.238, 0.375], [0.250, 0.262, 0.875], [0.262, 0.750, 0.125], [0.738, 0.250, 0.125], [0.750, 0.738, 0.875], [0.750, 0.762, 0.375], [0.762, 0.250, 0.625]]
}